No. 1
{
  "formula": "CaInGe3",
  "functional": "GGA-PBE",
  "state": "relaxed",
  "polymorph_energy_kj_per_mol_atoms": 0.0,
  "mass_density_g_cm3": 4.21,
  "space_group": "No. 221",
  "energy_ev_per_cell": -16.5,
  "ef_ev_per_atom": 0.42,
  "magmom_total_mub_per_cell": 0.00,
  "lattice": [[5.2768, 0.0000, 0.0000], [0.0000, 5.2768, 0.0000], [0.0000, 0.0000, 5.2768]],
  "species": ["Ca", "In", "Ge", "Ge", "Ge"],
  "frac_coords": [[0.0000, 0.0000, 0.0000], [0.5000, 0.5000, 0.5000], [0.0000, 0.5000, 0.5000], [0.5000, 0.0000, 0.5000], [0.5000, 0.5000, 0.0000]]
}

***

No. 2
{
  "formula": "CaInGe4",
  "functional": "GGA-PBE",
  "state": "relaxed",
  "mass_density_g_cm3": 5.65,
  "space_group": "No. 216",
  "energy_ev_per_cell": -24.0,
  "ef_ev_per_atom": -0.13,
  "magmom_total_mub_per_cell": 0.00,
  "lattice": [[0.0000, 4.0298, 4.0298], [4.0298, 0.0000, 4.0298], [4.0298, 4.0298, 0.0000]],
  "species": ["Ca", "In", "Ge", "Ge", "Ge", "Ge"],
  "frac_coords": [[0.0000, 0.0000, 0.0000], [0.7500, 0.7500, 0.7500], [0.3748, 0.3748, 0.3748], [0.3748, 0.3748, 0.8756], [0.3748, 0.8756, 0.3748], [0.8756, 0.3748, 0.3748]]
}

***

No. 3
{
  "formula": "Ca4InGe2",
  "functional": "GGA-PBE",
  "state": "relaxed",
  "mass_density_g_cm3": 2.79,
  "space_group": "No. 139",
  "energy_ev_per_cell": -20.5,
  "ef_ev_per_atom": -0.07,
  "magmom_total_mub_per_cell": 0.00,
  "lattice": [[-2.9635, 2.9635, 7.1156], [2.9635, -2.9635, 7.1156], [2.9635, 2.9635, -7.1156]],
  "species": ["Ca", "Ca", "Ca", "Ca", "In", "Ge", "Ge"],
  "frac_coords": [[0.0000, 0.5000, 0.5000], [0.2127, 0.2127, 0.0000], [0.5000, 0.0000, 0.5000], [0.7873, 0.7873, 0.0000], [0.0000, 0.0000, 0.0000], [0.4100, 0.4100, 0.0000], [0.5900, 0.5900, 0.0000]]
}

***

No. 4
{
  "formula": "Ca2InGe2",
  "functional": "GGA-PBE",
  "state": "relaxed",
  "mass_density_g_cm3": 3.87,
  "space_group": "No. 139",
  "energy_ev_per_cell": -17.0,
  "ef_ev_per_atom": -0.20,
  "magmom_total_mub_per_cell": 0.00,
  "lattice": [[-2.5243, 2.5243, 5.7245], [2.5243, -2.5243, 5.7245], [2.5243, 2.5243, -5.7245]],
  "species": ["Ca", "Ca", "In", "Ge", "Ge"],
  "frac_coords": [[0.2500, 0.7500, 0.5000], [0.7500, 0.2500, 0.5000], [0.0000, 0.0000, 0.0000], [0.3975, 0.3975, 0.0000], [0.6025, 0.6025, 0.0000]]
}